# 1
# ScGaP2S, PBEsol geometry, DFT SCAN
data_ScGaP2S
_chemical_formula_sum 'Sc1 Ga1 P2 S1'
_cell_length_a 4.556
_cell_length_b 4.556
_cell_length_c 4.733
_cell_angle_alpha 90.00
_cell_angle_beta 90.00
_cell_angle_gamma 90.00
_space_group_name_H-M_alt 'P 4/m m m'
_space_group_IT_number 123
_space_group_name_Hall '-P 4 2'
loop_
_atom_site_label
_atom_site_fract_x
_atom_site_fract_y
_atom_site_fract_z
_atom_site_occupancy
Sc1 0.000 0.000 0.000 1
Ga1 0.500 0.500 0.500 1
P1 0.000 0.500 0.500 1
S1 0.500 0.500 0.000 1
# Formation energy (no corrections) in eV per atom: 0.1840

***

# 2
# Cs3P6N11, PBEsol geometry, DFT SCAN
data_Cs3P6N11
_chemical_formula_sum 'Cs12 P24 N44'
_cell_length_a 10.657
_cell_length_b 10.657
_cell_length_c 10.657
_cell_angle_alpha 90.00
_cell_angle_beta 90.00
_cell_angle_gamma 90.00
_space_group_name_H-M_alt 'P 41 3 2'
_space_group_IT_number 213
_space_group_name_Hall 'P 4bd 2ab 3'
loop_
_atom_site_label
_atom_site_fract_x
_atom_site_fract_y
_atom_site_fract_z
_atom_site_occupancy
Cs1 0.019 0.481 0.519 1
Cs2 0.125 0.625 0.875 1
P1 0.044 0.452 0.181 1
N1 0.008 0.338 0.275 1
N2 0.055 0.945 0.445 1
N3 0.064 0.875 0.686 1
# Formation energy (no corrections) in eV per atom: -0.8681

***

# 3
# BaP2Rh, PBEsol geometry, DFT SCAN
data_BaP2Rh
_chemical_formula_sum 'Ba3 P6 Rh3'
_cell_length_a 4.0591
_cell_length_b 4.0591
_cell_length_c 16.8496
_cell_angle_alpha 90.00
_cell_angle_beta 90.00
_cell_angle_gamma 120.00
_space_group_name_H-M_alt 'R -3 m'
_space_group_IT_number 166
_space_group_name_Hall '-R 3 2"'
loop_
_atom_site_label
_atom_site_fract_x
_atom_site_fract_y
_atom_site_fract_z
_atom_site_occupancy
Ba1 0.0000 0.0000 0.0000 1
P1 0.0000 0.0000 0.2050 1
Rh1 0.0000 0.0000 0.5000 1
# Calculated total energy in Ry per atom: -1.7941

***

no.,total moment (μB/cell)
1,0.0
2,0.0
3,0.0